1.
Density functional theory data (PBE) for Te2PdAuI after structural relaxation.

Its energy above the most stable polymorph in this dataset is 0.0 meV per atom. As for the total magnetization: 0.0 μB per cell. The value obtained for the energy relative to the elements, uncorrected is 0.527 eV/atom. The total energy is -2.7339 eV/atom.

The space group is P4/mmm (No. 123) and the conventional cell measures 5.315, 5.315 and 5.395 Å, with angles of 90.00, 90.00 and 90.00 degrees. The inequivalent atoms are Te at (0.000, 0.500, 0.000), Pd at (0.000, 0.000, 0.000), Au at (0.500, 0.500, 0.500) and I at (0.000, 0.000, 0.500).

***

2.
Density functional theory data (PBE) for La2Al7Cu after structural relaxation.

Its energy above the most stable polymorph in this dataset is 0.0 meV per atom. As for the total magnetization: 0.0 μB per cell. For the formation energy from the elements, the calculation gives -0.43 eV per atom. The total energy is -4.4426 eV/atom.

The space group is P4mm (No. 99) and the conventional cell measures 4.326, 4.326 and 10.957 Å, with angles of 90.00, 90.00 and 90.00 degrees. The inequivalent atoms are La at (0.000, 0.000, 0.000), La at (0.500, 0.500, 0.496), Al at (0.000, 0.000, 0.382), Al at (0.000, 0.000, 0.615), Al at (0.000, 0.500, 0.238), Al at (0.000, 0.500, 0.755), Al at (0.500, 0.500, 0.903) and Cu at (0.500, 0.500, 0.124).

***

3.
Density functional theory data (PBE) for Nd3Tm2ThTe6 after structural relaxation.

As for the total magnetization: 0.0 μB per cell. The value obtained for the energy relative to the elements, uncorrected is -1.268 eV/atom. The total energy is -5.3946 eV/atom.

The space group is C2/m (No. 12) and the conventional cell measures 19.157, 4.342 and 9.037 Å, with angles of 90.00, 100.44 and 90.00 degrees. The inequivalent atoms are Nd at (0.000, 0.000, 0.000), Nd at (0.154, 0.500, 0.341), Tm at (0.167, 0.500, 0.838), Th at (0.000, 0.000, 0.500), Te at (0.010, 0.500, 0.757), Te at (0.171, 0.000, 0.082) and Te at (0.173, 0.000, 0.605).

***

4.
Density functional theory data (PBE) for YPaCoPd after structural relaxation.

As for the total magnetization: 0.0 μB per cell. For the formation energy from the elements, the calculation gives -0.27 eV per atom. The total energy is -7.3395 eV/atom.

The space group is F-43m (No. 216) and the conventional cell measures 6.871, 6.871 and 6.871 Å, with angles of 90.00, 90.00 and 90.00 degrees. The inequivalent atoms are Y at (0.000, 0.000, 0.000), Pa at (0.000, 0.000, 0.500), Co at (0.250, 0.250, 0.250) and Pd at (0.250, 0.250, 0.750).

***

5.
Density functional theory data (PBE) for K2NaDyI6 after structural relaxation.

As for the total magnetization: 0.0 μB per cell. The value obtained for the energy relative to the elements, uncorrected is -1.398 eV/atom. The total energy is -3.1393 eV/atom.

The space group is R3 (No. 146, hexagonal axes) and the conventional cell measures 8.5110, 8.5110 and 21.4855 Å, with angles of 90.00, 90.00 and 120.00 degrees. The inequivalent atoms are K at (0.0000, 0.0000, 0.0000), K at (0.0000, 0.0000, 0.4934), Na at (0.0000, 0.0000, 0.2101), Dy at (0.0000, 0.0000, 0.7052), I at (0.0097, 0.4091, 0.4511) and I at (0.0763, 0.7227, 0.2878).

***

6.
Density functional theory data (PBE) for CaRuW2 after structural relaxation.

Its energy above the most stable polymorph in this dataset is 326.1 meV per atom. As for the total magnetization: 0.0 μB per cell. For the formation energy from the elements, the calculation gives 0.78 eV per atom. The total energy is -8.5177 eV/atom.

The space group is Cmmm (No. 65) and the conventional cell measures 5.336, 9.589 and 2.725 Å, with angles of 90.00, 90.00 and 90.00 degrees. The inequivalent atoms are Ca at (0.000, 0.000, 0.000), Ru at (0.000, 0.500, 0.000) and W at (0.250, 0.250, 0.500).